Entry 1:
The following is a PBE calculation of TmPaC2 after structural relaxation, from the Alexandria database.

a = 3.6115 Å, b = 3.6112 Å, c = 6.1285 Å
α = 90.00°, β = 107.14°, γ = 120.00°
Last column: nearest neighbours and their distance in Å.
Fractional coordinates of all 4 atoms:
Tm 0.0001 0.4999 0.5000  6 C 2.60
Pa 0.0000 0.0000 0.0000  6 C 2.47-2.48
C 0.5123 0.2562 0.7685  3 Pa 2.47-2.48, 3 Tm 2.60
C 0.4876 0.7438 0.2315  3 Pa 2.47-2.48, 3 Tm 2.60

E_form = -0.4405 eV/atom
magnetization = 0.0 μB per formula unit
theoretical density = 10.817 g cm⁻³
E above lowest polymorph = 0.0 kJ per mole of atoms


Entry 2:
The following is a PBE calculation of Tm2PaC3 after structural relaxation, from the Alexandria database.

a = 3.5778 Å, b = 4.9646 Å, c = 6.1615 Å
α = 113.76°, β = 106.88°, γ = 90.00°
Last column: nearest neighbours and their distance in Å.
Fractional coordinates of all 6 atoms:
Tm 0.8324 0.8324 0.1649  6 C 2.49-2.62
Tm 0.1676 0.1676 0.8351  6 C 2.49-2.62
Pa 0.5000 0.5000 0.5000  6 C 2.43-2.48
C 0.8463 0.3463 0.1927  2 Pa 2.43, 4 Tm 2.49-2.62
C 0.1537 0.6537 0.8073  2 Pa 2.43, 4 Tm 2.49-2.62
C 0.5000 0.0000 0.5000  2 Pa 2.48, 4 Tm 2.53

E_form = -0.3593 eV/atom
magnetization = 0.0 μB per formula unit
theoretical density = 10.574 g cm⁻³


Entry 3:
The following is a PBE calculation of TmPaC after structural relaxation, from the Alexandria database.

a = 3.1304 Å, b = 3.1304 Å, c = 6.1716 Å
α = 104.69°, β = 104.69°, γ = 90.00°
Last column: nearest neighbours and their distance in Å.
Fractional coordinates of all 3 atoms:
C 0.3206 0.3206 0.6412  4 Pa 2.52, 4 Tm 2.75
Pa 0.7166 0.7166 0.4332  4 C 2.52
Tm 0.9628 0.9628 0.9256  4 C 2.75, 1 Pa 2.84

E_form = 0.1857 eV/atom
magnetization = 0.0 μB per formula unit
theoretical density = 12.118 g cm⁻³
E above lowest polymorph = 40.2 kJ per mole of atoms


Please write out number 2 again, unchanged.
The following is a PBE calculation of Tm2PaC3 after structural relaxation, from the Alexandria database.

a = 3.5778 Å, b = 4.9646 Å, c = 6.1615 Å
α = 113.76°, β = 106.88°, γ = 90.00°
Last column: nearest neighbours and their distance in Å.
Fractional coordinates of all 6 atoms:
Tm 0.8324 0.8324 0.1649  6 C 2.49-2.62
Tm 0.1676 0.1676 0.8351  6 C 2.49-2.62
Pa 0.5000 0.5000 0.5000  6 C 2.43-2.48
C 0.8463 0.3463 0.1927  2 Pa 2.43, 4 Tm 2.49-2.62
C 0.1537 0.6537 0.8073  2 Pa 2.43, 4 Tm 2.49-2.62
C 0.5000 0.0000 0.5000  2 Pa 2.48, 4 Tm 2.53

E_form = -0.3593 eV/atom
magnetization = 0.0 μB per formula unit
theoretical density = 10.574 g cm⁻³


Which value of E_form does entry 1 give?
-0.4405 eV/atom


Number 2 is which compound?
Tm2PaC3